# ReSi4Ru

A relaxed structure of ReSi4Ru (PBE, the Alexandria database).

Properties
- M_tot (μB/f.u.) = 0.0
- energy relative to the elements, uncorrected (eV/atom) = 0.555
- E_tot (eV/atom) = -6.6807

a b c (Å): 6.793 6.793 6.793
angles (deg): 90.00 90.00 90.00
Space group F-43m (No. 216)
Symmetry-distinct sites (fractional):
Re  0.000  0.000  0.000
Si  0.125  0.125  0.375
Ru  0.250  0.250  0.750